[1]
Below is a geometry-optimized LiBe2Rh structure, with properties calculated at the GGA-PBE level.

Unit cell a=2.8622 b=2.8622 c=5.3823 alpha=90.00 beta=90.00 gamma=90.00
With the nearest neighbours (Å) after each atom.
Fractional positions:
Rh1 0.5000 0.5000 0.7904  5 Be 2.28-2.31
Li1 0.0000 0.0000 0.4979  6 Be 2.54-2.69, 4 Rh 2.56
Be1 0.0000 0.0000 0.9980  4 Rh 2.31, 4 Be 2.33
Be2 0.5000 0.5000 0.2137  1 Rh 2.28, 4 Be 2.33, 4 Li 2.54

Values from the calculation:
**DFT formation energy**: -127 meV/atom

---

[2]
Below is a geometry-optimized AcPrSnPb structure, with properties calculated at the GGA-PBE level.

Unit cell a=5.7242 b=5.7242 c=5.7242 alpha=60.00 beta=60.00 gamma=60.00
With the nearest neighbours (Å) after each atom.
Fractional positions:
Pr1 0.5000 0.5000 0.5000  4 Sn 3.51, 4 Pb 3.51
Ac1 0.0000 0.0000 0.0000  4 Pb 3.51, 4 Sn 3.51
Pb1 0.7500 0.7500 0.7500  4 Pr 3.51, 4 Ac 3.51
Sn1 0.2500 0.2500 0.2500  4 Ac 3.51, 4 Pr 3.51

Values from the calculation:
**DFT formation energy**: -494 meV/atom
**Energy relative to the lowest polymorph listed for this composition**: 51 kJ/mol of formula units

---

[3]
Below is a geometry-optimized AsOs structure, with properties calculated at the GGA-PBE level.

Unit cell a=10.1446 b=10.1446 c=10.1446 alpha=16.74 beta=16.74 gamma=16.74
With the nearest neighbours (Å) after each atom.
Fractional positions:
As1 0.9731 0.9731 0.9731  3 Os 2.50
As2 0.7769 0.7769 0.7769  3 Os 2.50
Os1 0.5045 0.5045 0.5045  3 As 2.50
Os2 0.2455 0.2455 0.2455  3 As 2.50

Values from the calculation:
**DFT formation energy**: 260 meV/atom

---

[4]
Below is a geometry-optimized LaY2CoPb structure, with properties calculated at the GGA-PBE level.

Unit cell a=5.2866 b=5.2866 c=5.0714 alpha=90.00 beta=90.00 gamma=90.00
With the nearest neighbours (Å) after each atom.
Fractional positions:
Y1 0.0000 0.5000 0.0000  2 Co 2.64
Y2 0.5000 0.0000 0.0000  2 Co 2.64
Pb1 0.5000 0.5000 0.5000  8 Y 3.66, 4 La 3.74
La1 0.0000 0.0000 0.5000  2 Co 2.54
Co1 0.0000 0.0000 0.0000  2 La 2.54, 4 Y 2.64

Values from the calculation:
**DFT formation energy**: -315 meV/atom

---

[5]
Below is a geometry-optimized SrBeF4 structure, with properties calculated at the GGA-PBE level.

Unit cell a=6.0778 b=6.0778 c=6.0778 alpha=105.90 beta=105.90 gamma=116.88
With the nearest neighbours (Å) after each atom.
Fractional positions:
F1 0.5722 0.9024 0.6698  1 Be 1.58
F2 0.2325 0.9024 0.3302  1 Be 1.58
F3 0.0976 0.4278 0.3302  1 Be 1.58
F4 0.1778 0.3476 0.8302  1 Be 1.58
F5 0.0976 0.7675 0.6698  1 Be 1.58
F6 0.5175 0.3476 0.1698  1 Be 1.58
F7 0.6524 0.8222 0.1698  1 Be 1.58
F8 0.6524 0.4825 0.8302  1 Be 1.58
Be1 0.2500 0.7500 0.5000  4 F 1.58
Be2 0.5000 0.5000 0.0000  4 F 1.58
Sr1 0.7500 0.2500 0.5000  8 F 2.50-2.54
Sr2 0.0000 0.0000 0.0000  8 F 2.50-2.54

Values from the calculation:
**E_form (uncorrected)**: -3.641 eV per atom

---

[6]
Below is a geometry-optimized Tb3Dy6Er2 structure, with properties calculated at the GGA-PBE level.

Unit cell a=3.5351 b=3.5351 c=31.7180 alpha=86.81 beta=86.81 gamma=60.00
With the nearest neighbours (Å) after each atom.
Fractional positions:
Dy1 0.8181 0.8181 0.5456  3 Er 3.51, 9 Dy 3.53-3.54
Dy2 0.1819 0.1819 0.4544  3 Er 3.51, 9 Dy 3.53-3.54
Dy3 0.6362 0.6362 0.0913  6 Dy 3.54, 6 Tb 3.54
Dy4 0.9087 0.9087 0.2739  3 Er 3.51, 6 Dy 3.54, 3 Tb 3.54
Dy5 0.0913 0.0913 0.7261  3 Er 3.51, 6 Dy 3.54, 3 Tb 3.54
Dy6 0.3638 0.3638 0.9087  6 Dy 3.54, 6 Tb 3.54
Tb1 0.2725 0.2725 0.1825  6 Tb 3.54, 6 Dy 3.54
Tb2 0.0000 0.0000 0.0000  6 Tb 3.54, 6 Dy 3.54
Tb3 0.7275 0.7275 0.8175  6 Tb 3.54, 6 Dy 3.54
Er1 0.5453 0.5453 0.3641  6 Dy 3.51, 6 Er 3.54
Er2 0.4547 0.4547 0.6359  6 Dy 3.51, 6 Er 3.54

Values from the calculation:
**DFT formation energy**: 18 meV/atom
**Energy relative to the lowest polymorph listed for this composition**: 0 kJ/mol of formula units

---

[7]
Below is a geometry-optimized Ac3AgRhCl structure, with properties calculated at the GGA-PBE level.

Unit cell a=4.4530 b=8.9194 c=10.0151 alpha=99.81 beta=90.00 gamma=90.00
With the nearest neighbours (Å) after each atom.
Fractional positions:
Rh1 0.7500 0.3395 0.8560  6 Ac 2.98-3.10
Rh2 0.2500 0.6605 0.1440  6 Ac 2.98-3.10
Cl1 0.7500 0.9275 0.4061  3 Ac 2.88-3.04, 2 Cl 3.06
Cl2 0.2500 0.0725 0.5939  3 Ac 2.88-3.04, 2 Cl 3.06
Ac1 0.2500 0.7128 0.4584  3 Cl 3.04-3.26, 1 Rh 3.10
Ac2 0.2500 0.5644 0.8430  3 Rh 2.99-3.01, 2 Ag 3.31
Ac3 0.2500 0.1254 0.8854  1 Cl 2.88, 2 Rh 2.98
Ac4 0.7500 0.4356 0.1570  3 Rh 2.99-3.01, 2 Ag 3.31
Ac5 0.7500 0.8746 0.1146  1 Cl 2.88, 2 Rh 2.98
Ac6 0.7500 0.2872 0.5416  3 Cl 3.04-3.26, 1 Rh 3.10
Ag1 0.7500 0.8018 0.7500  5 Ac 3.31-3.65
Ag2 0.2500 0.1982 0.2500  5 Ac 3.31-3.65

Values from the calculation:
**E_form (uncorrected)**: -0.785 eV per atom

---

[8]
Below is a geometry-optimized Tm12AlNi6 structure, with properties calculated at the GGA-PBE level.

Unit cell a=8.2939 b=8.2939 c=8.2939 alpha=108.72 beta=108.72 gamma=108.72
With the nearest neighbours (Å) after each atom.
Fractional positions:
Tm1 0.1499 0.3879 0.4485  3 Ni 2.66-2.84
Tm2 0.3879 0.4485 0.1499  3 Ni 2.66-2.84
Tm3 0.8501 0.6121 0.5515  3 Ni 2.66-2.84
Tm4 0.9660 0.1427 0.6729  3 Ni 2.65-2.75
Tm5 0.4485 0.1499 0.3879  3 Ni 2.66-2.84
Tm6 0.8573 0.3271 0.0340  3 Ni 2.65-2.75
Tm7 0.0340 0.8573 0.3271  3 Ni 2.65-2.75
Tm8 0.3271 0.0340 0.8573  3 Ni 2.65-2.75
Tm9 0.6729 0.9660 0.1427  3 Ni 2.65-2.75
Tm10 0.6121 0.5515 0.8501  3 Ni 2.66-2.84
Tm11 0.5515 0.8501 0.6121  3 Ni 2.66-2.84
Tm12 0.1427 0.6729 0.9660  3 Ni 2.65-2.75
Al1 0.0000 0.0000 0.0000  12 Tm 3.26-3.54
Ni1 0.2878 0.2160 0.6425  6 Tm 2.65-2.84
Ni2 0.6425 0.2878 0.2160  6 Tm 2.65-2.84
Ni3 0.2160 0.6425 0.2878  6 Tm 2.65-2.84
Ni4 0.7122 0.7840 0.3575  6 Tm 2.65-2.84
Ni5 0.7840 0.3575 0.7122  6 Tm 2.65-2.84
Ni6 0.3575 0.7122 0.7840  6 Tm 2.65-2.84

Values from the calculation:
**DFT formation energy**: -242 meV/atom
**Energy relative to the lowest polymorph listed for this composition**: 243 kJ/mol of formula units

---

[9]
Below is a geometry-optimized LaSn3C structure, with properties calculated at the GGA-PBE level.

Unit cell a=6.0908 b=6.0908 c=6.0908 alpha=90.00 beta=90.00 gamma=90.00
With the nearest neighbours (Å) after each atom.
Fractional positions:
Sn1 0.5000 0.0000 0.0000  2 La 3.05
Sn2 0.0000 0.0000 0.5000  2 La 3.05
Sn3 0.0000 0.5000 0.0000  2 La 3.05
La1 0.0000 0.0000 0.0000  6 Sn 3.05
C1 0.5000 0.5000 0.5000  12 Sn 4.31

Values from the calculation:
**DFT formation energy**: 2022 meV/atom
**Energy relative to the lowest polymorph listed for this composition**: 766 kJ/mol of formula units

---

[10]
Below is a geometry-optimized Sc8Co2P structure, with properties calculated at the GGA-PBE level.

Unit cell a=5.6076 b=6.8581 c=6.8581 alpha=113.14 beta=101.19 gamma=101.19
With the nearest neighbours (Å) after each atom.
Fractional positions:
Sc1 0.5804 0.0816 0.3458  2 Co 2.51-2.54, 1 P 2.71
Sc2 0.3698 0.6546 0.9230  2 Co 2.54-2.57, 1 P 2.69
Sc3 0.7995 0.6454 0.6454  2 Co 2.71, 1 P 2.78
Sc4 0.5804 0.3458 0.0816  2 Co 2.51-2.54, 1 P 2.71
Sc5 0.9779 0.2137 0.7883  1 P 2.69, 1 Co 2.96
Sc6 0.9779 0.7883 0.2137  1 P 2.69, 1 Co 2.96
Sc7 0.1749 0.3674 0.3674  2 Co 2.74, 1 P 2.78
Sc8 0.3698 0.9230 0.6546  2 Co 2.54-2.57, 1 P 2.69
P1 0.1815 0.0010 0.0010  8 Sc 2.69-2.78
Co1 0.4938 0.3203 0.6928  6 Sc 2.51-2.74
Co2 0.4938 0.6928 0.3203  6 Sc 2.51-2.74

Values from the calculation:
**DFT formation energy**: -333 meV/atom

---

[11]
Below is a geometry-optimized CdB2Pb structure, with properties calculated at the GGA-PBE level.

Unit cell a=4.6060 b=4.6060 c=4.6060 alpha=60.00 beta=60.00 gamma=60.00
With the nearest neighbours (Å) after each atom.
Fractional positions:
Cd1 0.0000 0.0000 0.0000  8 B 2.82
B1 0.7500 0.7500 0.7500  4 Pb 2.82, 4 Cd 2.82
B2 0.2500 0.2500 0.2500  4 Pb 2.82, 4 Cd 2.82
Pb1 0.5000 0.5000 0.5000  8 B 2.82

Values from the calculation:
**DFT formation energy**: 1583 meV/atom
**Energy relative to the lowest polymorph listed for this composition**: 77 kJ/mol of formula units

---

[12]
Below is a geometry-optimized CsRb2MnH6 structure, with properties calculated at the GGA-PBE level.

Unit cell a=6.3245 b=6.2814 c=8.9245 alpha=90.00 beta=90.00 gamma=90.00
With the nearest neighbours (Å) after each atom.
Fractional positions:
H1 0.3107 0.0643 0.5000  1 Mn 1.67
H2 0.8108 0.5660 0.0000  1 Mn 1.67
H3 0.5000 0.2485 0.6868  1 Mn 1.67
H4 0.6892 0.4340 0.5000  1 Mn 1.67
H5 0.1892 0.5660 0.0000  1 Mn 1.67
H6 0.1893 0.9357 0.0000  1 Mn 1.67
H7 0.8107 0.9357 0.0000  1 Mn 1.67
H8 0.0000 0.7515 0.8132  1 Mn 1.67
H9 0.3108 0.4340 0.5000  1 Mn 1.67
H10 0.5000 0.2485 0.3132  1 Mn 1.67
H11 0.6893 0.0643 0.5000  1 Mn 1.67
H12 0.0000 0.7515 0.1868  1 Mn 1.67
Cs1 0.0000 0.7492 0.5000  6 H 2.79-2.80
Cs2 0.5000 0.2508 0.0000  6 H 2.79-2.80
Rb1 0.5000 0.7504 0.2501  12 H 3.18-3.22
Rb2 0.0000 0.2496 0.2499  12 H 3.18-3.22
Rb3 0.5000 0.7504 0.7499  12 H 3.18-3.22
Rb4 0.0000 0.2496 0.7501  12 H 3.18-3.22
Mn1 0.0000 0.7509 0.0000  6 H 1.67
Mn2 0.5000 0.2491 0.5000  6 H 1.67

Values from the calculation:
**Final energy**: -3.306 eV per atom